Cs4AgF2 | PBE | optimized geometry

Cell and atoms, written as POSCAR:
```
Cs4AgF2
1.0
-2.3799 5.9835 2.1355
-6.2305 -1.7522 -2.0342
-5.8557 -1.2220 7.6747
Cs Ag F
4 1 2
direct
0.7501 0.7501 0.4998 Cs
0.2499 0.2499 0.5002 Cs
0.0000 0.5000 0.0000 Cs
0.5000 0.0000 0.0000 Cs
0.0000 0.0000 0.0000 Ag
0.5995 0.5995 0.8009 F
0.4005 0.4005 0.1991 F
```

Properties
formation energy from raw total energies = -28.156 kcal/mol of atoms
Fermi-level density of states = 2.4 states/eV per cell
size of the total moment = 0.000 μB per cell